[1]
Computed, not measured: PmYSnRu after structural relaxation at the GGA-PBE level of DFT.

```
PmYSnRu
1.0
-4.3612 -1.4992 -0.5966
1.3124 -3.2299 -1.4773
2.2747 -1.6117 5.5446
Pm Y Sn Ru
1 1 1 1
direct
0.8354 0.5000 0.6709
0.1329 0.0000 0.2657
0.4313 0.0000 0.8627
0.6004 0.5000 0.2007
```

Summary:
Crystal system   orthorhombic
DOS at the Fermi energy   0.481 states/eV/atom
Energy of formation   -0.47 eV per atom
Energy   -6.592 eV/atom
Energy above the lowest structure with this stoichiometry   0.0000 eV per atom

=====

[2]
Computed, not measured: SrPm3Ru after structural relaxation at the GGA-PBE level of DFT.

```
SrPm3Ru
1.0
-0.9713 -4.2835 3.5083
0.1141 -3.5766 -4.3353
5.5357 -0.6779 0.7049
Ru Sr Pm
1 1 3
direct
0.0000 0.0000 0.0000
0.5000 0.5000 0.5000
0.0000 0.5000 0.0000
0.0000 0.0000 0.5000
0.5000 0.0000 0.0000
```

Summary:
Crystal system   cubic
DOS at the Fermi energy   0.760 states/eV/atom
Energy of formation   -0.08 eV per atom
Energy   -5.118 eV/atom

=====

[3]
Computed, not measured: SrPmRu after structural relaxation at the GGA-PBE level of DFT.

```
SrPmRu
1.0
-1.0390 -0.7082 4.6729
-2.0084 -6.5939 -1.4459
11.2643 -3.6410 -0.5528
Sr Pm Ru
4 4 4
direct
0.0793 0.2788 0.1586
0.4224 0.2226 0.8448
0.5776 0.7774 0.1552
0.9207 0.7212 0.8414
0.2032 0.6401 0.4065
0.7760 0.8468 0.5519
0.7968 0.3599 0.5935
0.2240 0.1532 0.4481
0.3306 0.5614 0.6611
0.6709 0.0909 0.3419
0.6694 0.4386 0.3389
0.3291 0.9091 0.6581
```

Summary:
Crystal system   monoclinic
DOS at the Fermi energy   0.818 states/eV/atom
Energy of formation   0.02 eV per atom
Energy   -5.219 eV/atom
Energy above the lowest structure with this stoichiometry   0.0000 eV per atom